A relaxed structure of PrLu2Ta. Source: Alexandria via LeMat-Bulk, functional GGA-PBE.

POSCAR file:
```
PrLu2Ta
1.0
-0.6419 -2.7537 1.6339
1.0928 -2.8621 -1.1308
10.0540 -0.5249 6.3288
Lu Ta Pr
2 1 1
direct
0.0824 0.0824 0.7529
0.9176 0.9176 0.2471
0.0000 0.0000 0.0000
0.5000 0.5000 0.5000
```

DFT formation energy in meV per atom: 611
Symmetry: R-3m, No. 166

***

A relaxed structure of LiTa2Rh. Source: Alexandria via LeMat-Bulk, functional GGA-PBE.

POSCAR file:
```
LiTa2Rh
1.0
-1.6436 1.3876 2.5009
-2.7240 0.1195 -1.8566
-1.5317 -5.2553 1.9092
Li Ta Rh
1 2 1
direct
0.5000 0.5000 0.2500
0.0000 0.0000 0.4984
0.0000 0.0000 0.0016
0.5000 0.5000 0.7500
```

DFT formation energy in meV per atom: 123
Symmetry: P4/mmm, No. 123

***

A relaxed structure of Zr6Ga2Tc. Source: Alexandria via LeMat-Bulk, functional GGA-PBE.

POSCAR file:
```
Zr6Ga2Tc
1.0
-3.1277 -1.2105 -0.4717
2.8274 -7.4159 0.2842
-2.3964 3.5941 6.6653
Zr Tc Ga
6 1 2
direct
0.0000 0.0001 0.2613
0.5000 0.0000 0.5991
0.0000 0.7387 0.7387
0.0000 0.2612 0.0000
0.5000 0.5991 0.0000
0.5000 0.4009 0.4009
0.5000 0.9999 0.0000
0.0000 0.3334 0.6667
0.0000 0.6667 0.3333
```

DFT formation energy in meV per atom: -368
Symmetry: P-62m, No. 189

***

A relaxed structure of Ac3In2Ir. Source: Alexandria via LeMat-Bulk, functional GGA-PBE.

POSCAR file:
```
Ac3In2Ir
1.0
5.7398 0.0000 0.0000
0.0000 8.1947 -1.0108
-2.8699 -3.0145 9.1863
Ac In Ir
6 4 2
direct
0.5000 0.2500 0.0000
0.8721 0.3724 0.7441
0.1280 0.1276 0.2559
0.1279 0.6276 0.2559
0.8720 0.8724 0.7441
0.5000 0.7500 0.0000
0.7002 0.4508 0.4004
0.2998 0.0492 0.5996
0.2998 0.5492 0.5996
0.7002 0.9508 0.4004
0.0000 0.2500 0.0000
0.0000 0.7500 0.0000
```

DFT formation energy in meV per atom: -459
Symmetry: C2/m, No. 12

***

Question: What is the DFT formation energy in the first record?
Answer: 611 meV per atom

***

Question: Among the records above, which one has the lowest DFT formation energy?
Answer: Ac3In2Ir

***

What did the third record say?
A relaxed structure of Zr6Ga2Tc. Source: Alexandria via LeMat-Bulk, functional GGA-PBE.

POSCAR file:
```
Zr6Ga2Tc
1.0
-3.1277 -1.2105 -0.4717
2.8274 -7.4159 0.2842
-2.3964 3.5941 6.6653
Zr Tc Ga
6 1 2
direct
0.0000 0.0001 0.2613
0.5000 0.0000 0.5991
0.0000 0.7387 0.7387
0.0000 0.2612 0.0000
0.5000 0.5991 0.0000
0.5000 0.4009 0.4009
0.5000 0.9999 0.0000
0.0000 0.3334 0.6667
0.0000 0.6667 0.3333
```

DFT formation energy in meV per atom: -368
Symmetry: P-62m, No. 189

***

Question: The lowest DFT formation energy belongs to which entry?
Answer: Ac3In2Ir